Entry A
# Pr2GdSc

An optimized crystal structure of Pr2GdSc (PBE, Alexandria).

The structure in CIF format:
```
data_Pr2GdSc
_chemical_formula_sum 'Pr2 Gd1 Sc1'
_space_group_name_H-M_alt 'P 1'
_space_group_IT_number 1
_cell_length_a 12.5030
_cell_length_b 12.5030
_cell_length_c 12.5030
_cell_angle_alpha 16.01
_cell_angle_beta 16.01
_cell_angle_gamma 16.01
loop_
_space_group_symop_operation_xyz
'x,y,z'
loop_
_atom_site_label
_atom_site_type_symbol
_atom_site_fract_x
_atom_site_fract_y
_atom_site_fract_z
Pr1 Pr 0.0856 0.0856 0.0856
Pr2 Pr 0.9144 0.9144 0.9144
Gd1 Gd 0.5000 0.5000 0.5000
Sc1 Sc 0.0000 0.0000 0.0000
```

---

Entry B
# Pr2GdSc

An optimized crystal structure of Pr2GdSc (PBE, Alexandria).

The structure in CIF format:
```
data_Pr2GdSc
_chemical_formula_sum 'Pr2 Gd1 Sc1'
_space_group_name_H-M_alt 'P 1'
_space_group_IT_number 1
_cell_length_a 5.0853
_cell_length_b 5.0853
_cell_length_c 4.9449
_cell_angle_alpha 90.00
_cell_angle_beta 90.00
_cell_angle_gamma 90.00
loop_
_space_group_symop_operation_xyz
'x,y,z'
loop_
_atom_site_label
_atom_site_type_symbol
_atom_site_fract_x
_atom_site_fract_y
_atom_site_fract_z
Pr1 Pr 0.0000 0.5000 0.0000
Pr2 Pr 0.5000 0.0000 0.0000
Gd1 Gd 0.0000 0.0000 0.5000
Sc1 Sc 0.5000 0.5000 0.5000
```

---

It is entry B that is the most stable of them.

---

Entry A
# Pr2GdSc

An optimized crystal structure of Pr2GdSc (PBE, Alexandria).

The structure in CIF format:
```
data_Pr2GdSc
_chemical_formula_sum 'Pr2 Gd1 Sc1'
_space_group_name_H-M_alt 'P 1'
_space_group_IT_number 1
_cell_length_a 5.6680
_cell_length_b 5.6680
_cell_length_c 5.6680
_cell_angle_alpha 60.00
_cell_angle_beta 60.00
_cell_angle_gamma 60.00
loop_
_space_group_symop_operation_xyz
'x,y,z'
loop_
_atom_site_label
_atom_site_type_symbol
_atom_site_fract_x
_atom_site_fract_y
_atom_site_fract_z
Pr1 Pr 0.2500 0.2500 0.2500
Pr2 Pr 0.7500 0.7500 0.7500
Gd1 Gd 0.0000 0.0000 0.0000
Sc1 Sc 0.5000 0.5000 0.5000
```

---

Entry B
# Pr2GdSc

An optimized crystal structure of Pr2GdSc (PBE, Alexandria).

The structure in CIF format:
```
data_Pr2GdSc
_chemical_formula_sum 'Pr2 Gd1 Sc1'
_space_group_name_H-M_alt 'P 1'
_space_group_IT_number 1
_cell_length_a 3.6372
_cell_length_b 3.6372
_cell_length_c 9.7014
_cell_angle_alpha 90.00
_cell_angle_beta 90.00
_cell_angle_gamma 90.00
loop_
_space_group_symop_operation_xyz
'x,y,z'
loop_
_atom_site_label
_atom_site_type_symbol
_atom_site_fract_x
_atom_site_fract_y
_atom_site_fract_z
Pr1 Pr 0.0000 0.0000 0.2359
Pr2 Pr 0.0000 0.0000 0.7641
Gd1 Gd 0.5000 0.5000 0.5000
Sc1 Sc 0.5000 0.5000 0.0000
```

---

It is entry B that is the most stable of them.

---

Entry A
# PrGd2Si

An optimized crystal structure of PrGd2Si (PBE, Alexandria).

The structure in CIF format:
```
data_PrGd2Si
_chemical_formula_sum 'Pr1 Gd2 Si1'
_space_group_name_H-M_alt 'P 1'
_space_group_IT_number 1
_cell_length_a 4.7303
_cell_length_b 4.7303
_cell_length_c 4.7091
_cell_angle_alpha 90.00
_cell_angle_beta 90.00
_cell_angle_gamma 90.00
loop_
_space_group_symop_operation_xyz
'x,y,z'
loop_
_atom_site_label
_atom_site_type_symbol
_atom_site_fract_x
_atom_site_fract_y
_atom_site_fract_z
Pr1 Pr 0.0000 0.0000 0.0000
Gd1 Gd 0.0000 0.5000 0.5000
Gd2 Gd 0.5000 0.0000 0.5000
Si1 Si 0.5000 0.5000 0.0000
```

---

Entry B
# PrGd2Si

An optimized crystal structure of PrGd2Si (PBE, Alexandria).

The structure in CIF format:
```
data_PrGd2Si
_chemical_formula_sum 'Pr1 Gd2 Si1'
_space_group_name_H-M_alt 'P 1'
_space_group_IT_number 1
_cell_length_a 11.0669
_cell_length_b 11.0669
_cell_length_c 11.0669
_cell_angle_alpha 19.06
_cell_angle_beta 19.06
_cell_angle_gamma 19.06
loop_
_space_group_symop_operation_xyz
'x,y,z'
loop_
_atom_site_label
_atom_site_type_symbol
_atom_site_fract_x
_atom_site_fract_y
_atom_site_fract_z
Pr1 Pr 0.0000 0.0000 0.0000
Gd1 Gd 0.1082 0.1082 0.1082
Gd2 Gd 0.8918 0.8918 0.8918
Si1 Si 0.5000 0.5000 0.5000
```

---

It is entry A that is the most stable of them.

---

Entry A
# PrSmGd2

An optimized crystal structure of PrSmGd2 (PBE, Alexandria).

The structure in CIF format:
```
data_PrSmGd2
_chemical_formula_sum 'Pr1 Sm1 Gd2'
_space_group_name_H-M_alt 'P 1'
_space_group_IT_number 1
_cell_length_a 5.7628
_cell_length_b 5.7628
_cell_length_c 5.7628
_cell_angle_alpha 60.00
_cell_angle_beta 60.00
_cell_angle_gamma 60.00
loop_
_space_group_symop_operation_xyz
'x,y,z'
loop_
_atom_site_label
_atom_site_type_symbol
_atom_site_fract_x
_atom_site_fract_y
_atom_site_fract_z
Pr1 Pr 0.0000 0.0000 0.0000
Sm1 Sm 0.5000 0.5000 0.5000
Gd1 Gd 0.2500 0.2500 0.2500
Gd2 Gd 0.7500 0.7500 0.7500
```

---

Entry B
# PrSmGd2

An optimized crystal structure of PrSmGd2 (PBE, Alexandria).

The structure in CIF format:
```
data_PrSmGd2
_chemical_formula_sum 'Pr1 Sm1 Gd2'
_space_group_name_H-M_alt 'P 1'
_space_group_IT_number 1
_cell_length_a 3.6321
_cell_length_b 3.6321
_cell_length_c 10.2302
_cell_angle_alpha 90.00
_cell_angle_beta 90.00
_cell_angle_gamma 90.00
loop_
_space_group_symop_operation_xyz
'x,y,z'
loop_
_atom_site_label
_atom_site_type_symbol
_atom_site_fract_x
_atom_site_fract_y
_atom_site_fract_z
Pr1 Pr 0.0000 0.0000 0.0000
Sm1 Sm 0.0000 0.0000 0.5000
Gd1 Gd 0.5000 0.5000 0.2529
Gd2 Gd 0.5000 0.5000 0.7471
```

---

Entry C
# PrSmGd2

An optimized crystal structure of PrSmGd2 (PBE, Alexandria).

The structure in CIF format:
```
data_PrSmGd2
_chemical_formula_sum 'Pr1 Sm1 Gd2'
_space_group_name_H-M_alt 'P 1'
_space_group_IT_number 1
_cell_length_a 12.7156
_cell_length_b 12.7156
_cell_length_c 12.7156
_cell_angle_alpha 16.04
_cell_angle_beta 16.04
_cell_angle_gamma 16.04
loop_
_space_group_symop_operation_xyz
'x,y,z'
loop_
_atom_site_label
_atom_site_type_symbol
_atom_site_fract_x
_atom_site_fract_y
_atom_site_fract_z
Pr1 Pr 0.0000 0.0000 0.0000
Sm1 Sm 0.5000 0.5000 0.5000
Gd1 Gd 0.0900 0.0900 0.0900
Gd2 Gd 0.9100 0.9100 0.9100
```

---

It is entry B that is the most stable of them.